! SrCePb | Alexandria | PBE | relaxed; values from VASP
! * total DFT energy (no corrections): -4.04 eV per atom
! * formation energy from the elements: -0.81 eV per formula unit
! * spin magnetization: 0.253 μB/atom
! * calculated density: 6.63 g/cm³
&SYSTEM
  ibrav = 0, nat = 6, ntyp = 3
/
ATOMIC_SPECIES
Ce 140.12 Ce.upf
Pb 207.20 Pb.upf
Sr 87.62 Sr.upf
CELL_PARAMETERS angstrom
4.058 0.000 0.000
0.000 4.058 0.000
-2.029 -2.029 13.234
ATOMIC_POSITIONS crystal
Ce 0.277 0.277 0.554
Ce 0.723 0.723 0.446
Pb 0.155 0.155 0.309
Pb 0.845 0.845 0.691
Sr 0.577 0.577 0.154
Sr 0.423 0.423 0.846